1.
The following is a DFT calculation (PBE-GGA) of crystalline PaRe2N6 at its relaxed geometry.

Geometry as POSCAR:
```
PaRe2N6
1.0
3.737 0.000 0.000
-1.868 5.360 -0.127
0.000 -1.830 7.082
Pa Re N
1 2 6
Direct
0.000 0.000 0.500 Pa
0.760 0.519 0.823 Re
0.240 0.481 0.177 Re
0.899 0.798 0.746 N
0.773 0.546 0.116 N
0.227 0.454 0.884 N
0.617 0.235 0.601 N
0.383 0.765 0.399 N
0.101 0.202 0.254 N
```

Computed properties:
E = -9.68 eV/atom
mass density = 8.1 g/cm3

2.
The following is a DFT calculation (PBE-GGA) of crystalline Mg4Te3Se at its relaxed geometry.

Geometry as POSCAR:
```
Mg4Te3Se
1.0
4.520 0.000 0.000
0.000 4.520 0.000
0.000 0.000 12.715
Mg Te Se
4 3 1
Direct
0.500 0.000 0.608 Mg
0.000 0.500 0.392 Mg
0.500 0.000 0.131 Mg
0.000 0.500 0.869 Mg
0.500 0.500 0.262 Te
0.000 0.000 0.000 Te
0.500 0.500 0.738 Te
0.000 0.000 0.500 Se
```

Computed properties:
relative energy among the computed polymorphs = 0.0000 eV/atom
E = -3.37 eV/atom
mass density = 3.6 g/cm3

3.
The following is a DFT calculation (PBE-GGA) of crystalline Na12CaTl6 at its relaxed geometry.

Geometry as POSCAR:
```
Na12CaTl6
1.0
8.946 -0.030 -0.043
-2.247 8.659 -0.043
-2.247 -2.894 8.161
Na Ca Tl
12 1 6
Direct
0.887 0.113 0.500 Na
0.889 0.626 0.626 Na
0.626 0.626 0.889 Na
0.374 0.111 0.374 Na
0.374 0.374 0.111 Na
0.111 0.374 0.374 Na
0.113 0.500 0.887 Na
0.500 0.887 0.113 Na
0.113 0.887 0.500 Na
0.887 0.500 0.113 Na
0.500 0.113 0.887 Na
0.626 0.889 0.626 Na
0.000 0.000 0.000 Ca
0.691 0.303 0.303 Tl
0.303 0.303 0.691 Tl
0.303 0.691 0.303 Tl
0.697 0.697 0.309 Tl
0.309 0.697 0.697 Tl
0.697 0.309 0.697 Tl
```

Computed properties:
relative energy among the computed polymorphs = 0.1089 eV/atom
E = -1.67 eV/atom
mass density = 4.1 g/cm3

4.
The following is a DFT calculation (PBE-GGA) of crystalline Rb2Pb2Se3 at its relaxed geometry.

Geometry as POSCAR:
```
Rb2Pb2Se3
1.0
8.491 0.049 3.178
4.413 11.141 0.938
0.342 -0.637 11.998
Rb Pb Se
8 8 12
Direct
0.920 0.029 0.194 Rb
0.420 0.194 0.029 Rb
0.750 0.278 0.722 Rb
0.750 0.568 0.432 Rb
0.250 0.432 0.568 Rb
0.250 0.722 0.278 Rb
0.580 0.806 0.971 Rb
0.080 0.971 0.806 Rb
0.593 0.386 0.226 Pb
0.590 0.088 0.572 Pb
0.093 0.226 0.386 Pb
0.090 0.572 0.088 Pb
0.910 0.428 0.912 Pb
0.907 0.774 0.614 Pb
0.410 0.912 0.428 Pb
0.407 0.614 0.774 Pb
0.716 0.270 0.420 Se
0.731 0.583 0.137 Se
0.216 0.420 0.270 Se
0.231 0.137 0.583 Se
0.787 0.231 0.010 Se
0.213 0.769 0.990 Se
0.769 0.863 0.417 Se
0.784 0.580 0.730 Se
0.287 0.010 0.231 Se
0.269 0.417 0.863 Se
0.284 0.730 0.580 Se
0.713 0.990 0.769 Se
```

Computed properties:
relative energy among the computed polymorphs = 0.0000 eV/atom
E = -3.62 eV/atom
mass density = 4.9 g/cm3

5.
The following is a DFT calculation (PBE-GGA) of crystalline Y8PtRh2 at its relaxed geometry.

Geometry as POSCAR:
```
Y8PtRh2
1.0
-1.615 -1.680 -5.582
-4.511 -4.465 4.104
-2.283 7.205 -0.052
Y Pt Rh
8 1 2
Direct
0.582 0.345 0.083 Y
0.582 0.083 0.345 Y
0.167 0.362 0.362 Y
0.986 0.215 0.786 Y
0.986 0.786 0.215 Y
0.803 0.641 0.641 Y
0.379 0.926 0.663 Y
0.379 0.663 0.926 Y
0.160 0.000 0.000 Pt
0.488 0.694 0.318 Rh
0.488 0.318 0.694 Rh
```

Computed properties:
E = -7.08 eV/atom
mass density = 6.1 g/cm3

6.
The following is a DFT calculation (PBE-GGA) of crystalline K3AgBr2 at its relaxed geometry.

Geometry as POSCAR:
```
K3AgBr2
1.0
4.682 0.000 -1.067
-0.243 4.676 -1.067
-0.009 -0.008 10.769
K Ag Br
3 1 2
Direct
0.934 0.936 0.874 K
0.264 0.265 0.533 K
0.605 0.606 0.215 K
0.434 0.436 0.874 Ag
0.101 0.102 0.208 Br
0.767 0.769 0.540 Br
```

Computed properties:
E = -2.68 eV/atom
mass density = 2.7 g/cm3

7.
The following is a DFT calculation (PBE-GGA) of crystalline Ba2LiMoH6 at its relaxed geometry.

Geometry as POSCAR:
```
Ba2LiMoH6
1.0
-3.860 -3.253 -0.398
3.423 -4.246 1.513
-2.843 2.889 3.951
Ba Li Mo H
2 1 1 6
Direct
0.243 0.333 0.667 Ba
0.757 0.667 0.333 Ba
0.500 0.000 0.000 Li
0.000 0.000 0.000 Mo
0.771 0.153 0.306 H
0.771 0.153 0.847 H
0.771 0.694 0.847 H
0.229 0.847 0.153 H
0.229 0.306 0.153 H
0.229 0.847 0.694 H
```

Computed properties:
E = -3.99 eV/atom
mass density = 4.5 g/cm3

8.
The following is a DFT calculation (PBE-GGA) of crystalline CaGeB3 at its relaxed geometry.

Geometry as POSCAR:
```
CaGeB3
1.0
-1.167 2.414 -3.870
-3.196 -3.283 -1.084
-3.254 2.359 2.452
Ge B Ca
1 3 1
Direct
0.500 0.500 0.500 Ge
0.000 0.500 0.000 B
0.000 0.000 0.500 B
0.500 0.000 0.000 B
0.000 0.000 0.000 Ca
```

Computed properties:
relative energy among the computed polymorphs = 1.3339 eV/atom
E = -2.70 eV/atom
mass density = 2.3 g/cm3

9.
The following is a DFT calculation (PBE-GGA) of crystalline NaSrAg2Br8 at its relaxed geometry.

Geometry as POSCAR:
```
NaSrAg2Br8
1.0
7.269 0.000 0.000
0.000 7.269 0.000
-3.634 -3.634 7.267
Na Sr Ag Br
1 1 2 8
Direct
0.750 0.250 0.500 Na
0.000 0.000 0.000 Sr
0.500 0.500 0.000 Ag
0.250 0.750 0.500 Ag
0.716 0.857 0.125 Br
0.409 0.268 0.125 Br
0.609 0.653 0.622 Br
0.013 0.969 0.622 Br
0.031 0.391 0.378 Br
0.347 0.987 0.378 Br
0.143 0.591 0.875 Br
0.732 0.284 0.875 Br
```

Computed properties:
E = -2.60 eV/atom
mass density = 4.2 g/cm3

10.
The following is a DFT calculation (PBE-GGA) of crystalline ErRe2AgO8 at its relaxed geometry.

Geometry as POSCAR:
```
ErRe2AgO8
1.0
-3.358 0.949 5.136
-2.804 -1.696 -5.273
0.746 -6.462 1.682
Er Re Ag O
1 2 1 8
Direct
0.000 0.000 0.500 Er
0.667 0.333 0.239 Re
0.333 0.667 0.761 Re
0.000 0.000 0.000 Ag
0.333 0.667 0.021 O
0.348 0.174 0.318 O
0.826 0.174 0.318 O
0.667 0.333 0.979 O
0.174 0.826 0.682 O
0.652 0.826 0.682 O
0.174 0.348 0.682 O
0.826 0.652 0.318 O
```

Computed properties:
E = -7.71 eV/atom
mass density = 5.7 g/cm3

11.
The following is a DFT calculation (PBE-GGA) of crystalline YNbS2 at its relaxed geometry.

Geometry as POSCAR:
```
YNbS2
1.0
-0.243 -8.485 2.152
3.110 -8.073 1.353
1.966 -7.236 4.522
Y Nb S
1 1 2
Direct
0.000 0.000 0.000 Y
0.500 0.500 0.500 Nb
0.894 0.894 0.894 S
0.106 0.106 0.106 S
```

Computed properties:
relative energy among the computed polymorphs = 0.2634 eV/atom
E = -7.07 eV/atom
mass density = 4.6 g/cm3

12.
The following is a DFT calculation (PBE-GGA) of crystalline Ce3SbH3 at its relaxed geometry.

Geometry as POSCAR:
```
Ce3SbH3
1.0
6.399 0.000 0.000
0.000 6.399 0.000
0.000 0.000 6.399
Sb Ce H
2 6 6
Direct
0.500 0.500 0.500 Sb
0.000 0.000 0.000 Sb
0.000 0.250 0.500 Ce
0.000 0.750 0.500 Ce
0.500 0.000 0.750 Ce
0.750 0.500 0.000 Ce
0.500 0.000 0.250 Ce
0.250 0.500 0.000 Ce
0.250 0.000 0.500 H
0.000 0.500 0.250 H
0.500 0.750 0.000 H
0.750 0.000 0.500 H
0.000 0.500 0.750 H
0.500 0.250 0.000 H
```

Computed properties:
relative energy among the computed polymorphs = 0.0000 eV/atom
E = -5.14 eV/atom
mass density = 6.9 g/cm3

13.
The following is a DFT calculation (PBE-GGA) of crystalline RbNaVZn2 at its relaxed geometry.

Geometry as POSCAR:
```
RbNaVZn2
1.0
5.247 0.000 0.000
0.000 5.792 0.000
0.000 0.000 5.247
Na Zn Rb V
1 2 1 1
Direct
0.000 0.500 0.000 Na
0.000 0.000 0.500 Zn
0.500 0.000 0.000 Zn
0.500 0.500 0.500 Rb
0.000 0.000 0.000 V
```

Computed properties:
E = -2.21 eV/atom
mass density = 3.0 g/cm3

14.
The following is a DFT calculation (PBE-GGA) of crystalline Pm5GaGe4 at its relaxed geometry.

Geometry as POSCAR:
```
Pm5GaGe4
1.0
6.063 0.000 0.000
3.031 6.742 0.000
3.031 0.000 6.742
Pm Ga Ge
5 1 4
Direct
0.885 0.414 0.792 Pm
0.300 0.792 0.586 Pm
0.677 0.208 0.414 Pm
0.092 0.586 0.208 Pm
0.549 0.000 0.000 Pm
0.068 0.000 0.000 Ga
0.379 0.403 0.809 Ge
0.782 0.809 0.597 Ge
0.188 0.191 0.403 Ge
0.591 0.597 0.191 Ge
```

Computed properties:
E = -5.12 eV/atom
mass density = 6.5 g/cm3

15.
The following is a DFT calculation (PBE-GGA) of crystalline AlCuHg2S4 at its relaxed geometry.

Geometry as POSCAR:
```
AlCuHg2S4
1.0
5.703 0.000 -0.004
-0.001 5.703 -0.004
-2.848 -2.850 5.535
Al Cu Hg S
1 1 2 4
Direct
0.986 0.486 0.972 Al
0.735 0.736 0.472 Cu
0.486 0.986 0.972 Hg
0.236 0.236 0.472 Hg
0.657 0.608 0.723 S
0.864 0.406 0.221 S
0.358 0.815 0.221 S
0.066 0.114 0.722 S
```

Computed properties:
E = -3.59 eV/atom
mass density = 5.7 g/cm3

16.
The following is a DFT calculation (PBE-GGA) of crystalline GeRh6O12 at its relaxed geometry.

Geometry as POSCAR:
```
GeRh6O12
1.0
5.944 0.018 0.022
-0.883 5.878 0.022
-0.883 -1.029 5.788
Ge Rh O
1 6 12
Direct
0.000 0.000 0.000 Ge
0.710 0.861 0.425 Rh
0.575 0.290 0.139 Rh
0.139 0.575 0.290 Rh
0.290 0.139 0.575 Rh
0.425 0.710 0.861 Rh
0.861 0.425 0.710 Rh
0.822 0.558 0.407 O
0.407 0.822 0.558 O
0.558 0.407 0.822 O
0.178 0.442 0.593 O
0.593 0.178 0.442 O
0.442 0.593 0.178 O
0.055 0.961 0.313 O
0.039 0.687 0.945 O
0.687 0.945 0.039 O
0.945 0.039 0.687 O
0.961 0.313 0.055 O
0.313 0.055 0.961 O
```

Computed properties:
E = -6.31 eV/atom
mass density = 7.2 g/cm3

17.
The following is a DFT calculation (PBE-GGA) of crystalline Ca11Tl9Au4 at its relaxed geometry.

Geometry as POSCAR:
```
Ca11Tl9Au4
1.0
-0.925 -3.097 2.025
0.523 -7.620 -11.417
12.068 0.662 6.527
Ca Tl Au
11 9 4
Direct
0.000 0.585 0.926 Ca
0.000 0.415 0.074 Ca
0.000 0.926 0.585 Ca
0.000 0.074 0.415 Ca
0.000 0.636 0.364 Ca
0.000 0.364 0.636 Ca
0.000 0.836 0.164 Ca
0.000 0.164 0.836 Ca
0.000 0.000 0.000 Ca
0.000 0.707 0.707 Ca
0.000 0.293 0.293 Ca
0.500 0.632 0.151 Tl
0.500 0.368 0.849 Tl
0.500 0.151 0.632 Tl
0.500 0.849 0.368 Tl
0.500 0.787 0.939 Tl
0.500 0.213 0.061 Tl
0.500 0.939 0.787 Tl
0.500 0.061 0.213 Tl
0.500 0.500 0.500 Tl
0.500 0.550 0.746 Au
0.500 0.450 0.254 Au
0.500 0.746 0.550 Au
0.500 0.254 0.450 Au
```

Computed properties:
E = -2.88 eV/atom
mass density = 7.7 g/cm3

18.
The following is a DFT calculation (PBE-GGA) of crystalline Zr2Tc2Os at its relaxed geometry.

Geometry as POSCAR:
```
Zr2Tc2Os
1.0
3.398 0.000 0.000
0.000 3.398 0.000
1.699 1.699 8.240
Os Tc Zr
1 2 2
Direct
0.000 0.000 0.000 Os
0.750 0.250 0.500 Tc
0.250 0.750 0.500 Tc
0.401 0.401 0.198 Zr
0.599 0.599 0.802 Zr
```

Computed properties:
relative energy among the computed polymorphs = 0.1588 eV/atom
E = -9.70 eV/atom
mass density = 9.9 g/cm3

19.
The following is a DFT calculation (PBE-GGA) of crystalline Y2VFeS at its relaxed geometry.

Geometry as POSCAR:
```
Y2VFeS
1.0
5.192 0.000 0.000
0.000 4.290 0.000
0.000 0.000 5.192
Y S Fe V
2 1 1 1
Direct
0.000 0.000 0.500 Y
0.500 0.000 0.000 Y
0.000 0.000 0.000 S
0.500 0.500 0.500 Fe
0.000 0.500 0.000 V
```

Computed properties:
E = -7.04 eV/atom
mass density = 4.5 g/cm3

20.
The following is a DFT calculation (PBE-GGA) of crystalline K2RbHoI6 at its relaxed geometry.

Geometry as POSCAR:
```
K2RbHoI6
1.0
8.747 0.000 0.001
4.373 7.574 0.000
4.374 2.525 7.665
K Rb Ho I
2 1 1 6
Direct
0.526 0.526 0.421 K
0.014 0.014 0.957 K
0.816 0.816 0.552 Rb
0.326 0.326 0.022 Ho
0.557 0.222 0.241 I
0.222 0.980 0.241 I
0.980 0.557 0.241 I
0.413 0.680 0.780 I
0.680 0.128 0.780 I
0.128 0.413 0.780 I
```

Computed properties:
E = -3.15 eV/atom
mass density = 3.6 g/cm3